w | Entry from Alexandria via LeMat-Bulk: crystalline PmHoMgCo at its relaxed geometry (GGA-PBE).

Values from the calculation:
Size of the total moment in μB per formula unit: 0.36

Cell lengths 7.181, 7.181, 7.181 Å; angles 90.00, 90.00, 90.00 degrees
Space group F-43m (No. 216)
One atom of each set of equivalent atoms:
Pm: 0.000 0.000 0.000 x4
Ho: 0.000 0.000 0.500 x4
Mg: 0.250 0.250 0.250 x4
Co: 0.250 0.250 0.750 x4

=====

x | Entry from Alexandria via LeMat-Bulk: crystalline PmHoMgCo at its relaxed geometry (GGA-PBE).

Values from the calculation:
Size of the total moment in μB per formula unit: 0.79

Cell lengths 3.435, 3.435, 8.142 Å; angles 90.00, 90.00, 90.00 degrees
Space group P4mm (No. 99)
One atom of each set of equivalent atoms:
Pm: 0.000 0.000 0.000 x1
Ho: 0.000 0.000 0.404 x1
Mg: 0.500 0.500 0.693 x1
Co: 0.500 0.500 0.214 x1

=====

Of them, w has the lowest stability.

=====

w | Entry from Alexandria via LeMat-Bulk: crystalline TbHoMgCo at its relaxed geometry (GGA-PBE).

Values from the calculation:
Size of the total moment in μB per formula unit: 0.79

Cell lengths 3.400, 3.400, 8.063 Å; angles 90.00, 90.00, 90.00 degrees
Space group P4mm (No. 99)
One atom of each set of equivalent atoms:
Tb: 0.000 0.000 0.000 x1
Ho: 0.000 0.000 0.598 x1
Mg: 0.500 0.500 0.302 x1
Co: 0.500 0.500 0.796 x1

=====

x | Entry from Alexandria via LeMat-Bulk: crystalline TbHoMgCo at its relaxed geometry (GGA-PBE).

Values from the calculation:
Size of the total moment in μB per formula unit: 0.34

Cell lengths 7.099, 7.099, 7.099 Å; angles 90.00, 90.00, 90.00 degrees
Space group F-43m (No. 216)
One atom of each set of equivalent atoms:
Tb: 0.000 0.000 0.000 x4
Ho: 0.000 0.000 0.500 x4
Mg: 0.250 0.250 0.250 x4
Co: 0.250 0.250 0.750 x4

=====

Of them, x has the lowest stability.

=====

w | Entry from Alexandria via LeMat-Bulk: crystalline HoTmMgCo at its relaxed geometry (GGA-PBE).

Values from the calculation:
Size of the total moment in μB per formula unit: 0.73

Cell lengths 3.362, 3.362, 8.031 Å; angles 90.00, 90.00, 90.00 degrees
Space group P4mm (No. 99)
One atom of each set of equivalent atoms:
Ho: 0.000 0.000 0.000 x1
Tm: 0.000 0.000 0.600 x1
Mg: 0.500 0.500 0.303 x1
Co: 0.500 0.500 0.797 x1

=====

x | Entry from Alexandria via LeMat-Bulk: crystalline HoTmMgCo at its relaxed geometry (GGA-PBE).

Values from the calculation:
Size of the total moment in μB per formula unit: 0.32

Cell lengths 7.030, 7.030, 7.030 Å; angles 90.00, 90.00, 90.00 degrees
Space group F-43m (No. 216)
One atom of each set of equivalent atoms:
Ho: 0.000 0.000 0.000 x4
Tm: 0.000 0.000 0.500 x4
Mg: 0.250 0.250 0.250 x4
Co: 0.250 0.250 0.750 x4

=====

Of them, x has the lowest stability.